No. 1
# CsSnSeN2, relaxed, DFT GGA-PBE
# Density of states at the Fermi level in states/eV per atom: 0.639
data_CsSnSeN2
_chemical_formula_sum 'Cs1 Sn1 Se1 N2'
_cell_length_a 4.4496
_cell_length_b 4.4496
_cell_length_c 7.0446
_cell_angle_alpha 90.00
_cell_angle_beta 90.00
_cell_angle_gamma 90.00
_space_group_name_H-M_alt 'P 4/m m m'
_space_group_IT_number 123
_space_group_name_Hall '-P 4 2'
loop_
_atom_site_label
_atom_site_type_symbol
_atom_site_fract_x
_atom_site_fract_y
_atom_site_fract_z
Cs1 Cs 0.0000 0.0000 0.0000
Sn1 Sn 0.5000 0.5000 0.5000
Se1 Se 0.0000 0.0000 0.5000
N1 N 0.0000 0.5000 0.0000

***

No. 2
# BaIn2PdI, relaxed, DFT GGA-PBE
# Density of states at the Fermi level in states/eV per atom: 0.766
data_BaIn2PdI
_chemical_formula_sum 'Ba1 In2 Pd1 I1'
_cell_length_a 5.2188
_cell_length_b 5.2188
_cell_length_c 6.4250
_cell_angle_alpha 90.00
_cell_angle_beta 90.00
_cell_angle_gamma 90.00
_space_group_name_H-M_alt 'P 4/m m m'
_space_group_IT_number 123
_space_group_name_Hall '-P 4 2'
loop_
_atom_site_label
_atom_site_type_symbol
_atom_site_fract_x
_atom_site_fract_y
_atom_site_fract_z
Ba1 Ba 0.0000 0.0000 0.0000
In1 In 0.0000 0.5000 0.5000
Pd1 Pd 0.0000 0.0000 0.5000
I1 I 0.5000 0.5000 0.0000

***

No. 3
# TaCu2W, relaxed, DFT GGA-PBE
# Formation energy in eV/atom: 0.305
# Density of states at the Fermi level in states/eV per atom: 0.919
data_TaCu2W
_chemical_formula_sum 'Ta2 Cu4 W2'
_cell_length_a 2.8407
_cell_length_b 4.6130
_cell_length_c 8.9581
_cell_angle_alpha 90.00
_cell_angle_beta 90.00
_cell_angle_gamma 90.00
_space_group_name_H-M_alt 'I m m 2'
_space_group_IT_number 44
loop_
_space_group_symop_operation_xyz
'x,y,z'
'-x,-y,z'
'-x,y,z'
'x,-y,z'
'x+1/2,y+1/2,z+1/2'
'-x+1/2,-y+1/2,z+1/2'
'-x+1/2,y+1/2,z+1/2'
'x+1/2,-y+1/2,z+1/2'
loop_
_atom_site_label
_atom_site_type_symbol
_atom_site_fract_x
_atom_site_fract_y
_atom_site_fract_z
Ta1 Ta 0.0000 0.0000 0.0000
Cu1 Cu 0.0000 0.0000 0.5231
Cu2 Cu 0.0000 0.5000 0.2442
W1 W 0.0000 0.5000 0.7713

***

No. 4
# LaTb2Tl4, relaxed, DFT GGA-PBE
# Formation energy in eV/atom: -0.223
# Density of states at the Fermi level in states/eV per atom: 0.820
data_LaTb2Tl4
_chemical_formula_sum 'La1 Tb2 Tl4'
_cell_length_a 5.2951
_cell_length_b 5.2951
_cell_length_c 7.7974
_cell_angle_alpha 90.00
_cell_angle_beta 90.00
_cell_angle_gamma 90.00
_space_group_name_H-M_alt 'P 4/m m m'
_space_group_IT_number 123
_space_group_name_Hall '-P 4 2'
loop_
_atom_site_label
_atom_site_type_symbol
_atom_site_fract_x
_atom_site_fract_y
_atom_site_fract_z
La1 La 0.0000 0.0000 0.0000
Tb1 Tb 0.0000 0.0000 0.5000
Tb2 Tb 0.5000 0.5000 0.0000
Tl1 Tl 0.0000 0.5000 0.2748

***

No. 5
# BaTa2Re, relaxed, DFT GGA-PBE
# Formation energy in eV/atom: 0.692
# Density of states at the Fermi level in states/eV per atom: 0.885
data_BaTa2Re
_chemical_formula_sum 'Ba2 Ta4 Re2'
_cell_length_a 3.3449
_cell_length_b 4.9307
_cell_length_c 10.3857
_cell_angle_alpha 90.00
_cell_angle_beta 90.00
_cell_angle_gamma 90.00
_space_group_name_H-M_alt 'C m m 2'
_space_group_IT_number 35
loop_
_space_group_symop_operation_xyz
'x,y,z'
'-x,-y,z'
'-x,y,z'
'x,-y,z'
'x+1/2,y+1/2,z'
'-x+1/2,-y+1/2,z'
'-x+1/2,y+1/2,z'
'x+1/2,-y+1/2,z'
loop_
_atom_site_label
_atom_site_type_symbol
_atom_site_fract_x
_atom_site_fract_y
_atom_site_fract_z
Ba1 Ba 0.0000 0.0000 0.0000
Ta1 Ta 0.0000 0.0000 0.5326
Ta2 Ta 0.0000 0.5000 0.3134
Re1 Re 0.0000 0.5000 0.7264

***

No. 6
# ZnCr4Hg, relaxed, DFT GGA-PBE
# Formation energy in eV/atom: 0.520
# Density of states at the Fermi level in states/eV per atom: 1.193
data_ZnCr4Hg
_chemical_formula_sum 'Zn4 Cr16 Hg4'
_cell_length_a 6.9151
_cell_length_b 6.9151
_cell_length_c 6.9151
_cell_angle_alpha 90.00
_cell_angle_beta 90.00
_cell_angle_gamma 90.00
_space_group_name_H-M_alt 'F -4 3 m'
_space_group_IT_number 216
_space_group_name_Hall 'F -4 2 3'
loop_
_atom_site_label
_atom_site_type_symbol
_atom_site_fract_x
_atom_site_fract_y
_atom_site_fract_z
Zn1 Zn 0.0000 0.0000 0.0000
Cr1 Cr 0.1275 0.1275 0.3725
Hg1 Hg 0.2500 0.2500 0.7500

***

No. 7
# RbSe2I8, relaxed, DFT GGA-PBE
# Density of states at the Fermi level in states/eV per atom: 0.460
data_RbSe2I8
_chemical_formula_sum 'Rb2 Se4 I16'
_cell_length_a 15.2411
_cell_length_b 9.2295
_cell_length_c 9.1352
_cell_angle_alpha 90.00
_cell_angle_beta 115.26
_cell_angle_gamma 90.00
_space_group_name_H-M_alt 'C 1 2/m 1'
_space_group_IT_number 12
loop_
_space_group_symop_operation_xyz
'x,y,z'
'-x,-y,-z'
'-x,y,-z'
'x,-y,z'
'x+1/2,y+1/2,z'
'-x+1/2,-y+1/2,-z'
'-x+1/2,y+1/2,-z'
'x+1/2,-y+1/2,z'
loop_
_atom_site_label
_atom_site_type_symbol
_atom_site_fract_x
_atom_site_fract_y
_atom_site_fract_z
Rb1 Rb 0.0000 0.0000 0.0000
Se1 Se 0.1741 0.0000 0.6755
I1 I 0.1029 0.5000 0.1066
I2 I 0.1229 0.2348 0.7957
I3 I 0.2135 0.0000 0.4086

***

No. 8
# NaZr2SbO8, relaxed, DFT GGA-PBE
# Density of states at the Fermi level in states/eV per atom: 0.771
data_NaZr2SbO8
_chemical_formula_sum 'Na1 Zr2 Sb1 O8'
_cell_length_a 4.9124
_cell_length_b 6.7400
_cell_length_c 4.9147
_cell_angle_alpha 90.00
_cell_angle_beta 91.58
_cell_angle_gamma 90.00
_space_group_name_H-M_alt 'P 1 2/m 1'
_space_group_IT_number 10
loop_
_space_group_symop_operation_xyz
'x,y,z'
'-x,-y,-z'
'-x,y,-z'
'x,-y,z'
loop_
_atom_site_label
_atom_site_type_symbol
_atom_site_fract_x
_atom_site_fract_y
_atom_site_fract_z
Na1 Na 0.0000 0.0000 0.0000
Zr1 Zr 0.5000 0.2366 0.5000
Sb1 Sb 0.0000 0.5000 0.0000
O1 O 0.2017 0.2886 0.2007
O2 O 0.2914 0.5000 0.7078
O3 O 0.3173 0.0000 0.6812

***

No. 9
# TmAuF, relaxed, DFT GGA-PBE
# Density of states at the Fermi level in states/eV per atom: 0.367
data_TmAuF
_chemical_formula_sum 'Tm2 Au2 F2'
_cell_length_a 3.8045
_cell_length_b 3.8045
_cell_length_c 9.6141
_cell_angle_alpha 90.00
_cell_angle_beta 90.00
_cell_angle_gamma 120.00
_space_group_name_H-M_alt 'P -3 m 1'
_space_group_IT_number 164
_space_group_name_Hall '-P 3 2"'
loop_
_atom_site_label
_atom_site_type_symbol
_atom_site_fract_x
_atom_site_fract_y
_atom_site_fract_z
Tm1 Tm 0.3333 0.6667 0.3226
Au1 Au 0.0000 0.0000 0.1406
F1 F 0.3333 0.6667 0.5691

***

No. 10
# SbH2I3, relaxed, DFT GGA-PBE
# Density of states at the Fermi level in states/eV per atom: 0.021
data_SbH2I3
_chemical_formula_sum 'Sb2 H4 I6'
_cell_length_a 6.1036
_cell_length_b 8.7550
_cell_length_c 9.5750
_cell_angle_alpha 63.68
_cell_angle_beta 72.39
_cell_angle_gamma 73.28
_space_group_name_H-M_alt 'P -1'
_space_group_IT_number 2
loop_
_space_group_symop_operation_xyz
'x,y,z'
'-x,-y,-z'
loop_
_atom_site_label
_atom_site_type_symbol
_atom_site_fract_x
_atom_site_fract_y
_atom_site_fract_z
Sb1 Sb 0.0141 0.2275 0.2177
H1 H 0.2096 0.5458 0.5369
H2 H 0.2794 0.0927 0.8463
I1 I 0.1520 0.7632 0.4414
I2 I 0.1793 0.2906 0.8649
I3 I 0.4223 0.8551 0.7692

***

No. 11
# Pm5RuPb4, relaxed, DFT GGA-PBE
# Formation energy in eV/atom: -0.294
# Density of states at the Fermi level in states/eV per atom: 0.776
data_Pm5RuPb4
_chemical_formula_sum 'Pm10 Ru2 Pb8'
_cell_length_a 9.9232
_cell_length_b 9.9232
_cell_length_c 6.3575
_cell_angle_alpha 90.00
_cell_angle_beta 90.00
_cell_angle_gamma 90.00
_space_group_name_H-M_alt 'I 4'
_space_group_IT_number 79
loop_
_space_group_symop_operation_xyz
'x,y,z'
'-y,x,z'
'-x,-y,z'
'y,-x,z'
'x+1/2,y+1/2,z+1/2'
'-y+1/2,x+1/2,z+1/2'
'-x+1/2,-y+1/2,z+1/2'
'y+1/2,-x+1/2,z+1/2'
loop_
_atom_site_label
_atom_site_type_symbol
_atom_site_fract_x
_atom_site_fract_y
_atom_site_fract_z
Pm1 Pm 0.0000 0.0000 0.0000
Pm2 Pm 0.1009 0.7458 0.5600
Ru1 Ru 0.0000 0.0000 0.5215
Pb1 Pb 0.0740 0.6787 0.0602

***

No. 12
# BeZn2Tc, relaxed, DFT GGA-PBE
# Formation energy in eV/atom: 0.082
# Density of states at the Fermi level in states/eV per atom: 0.361
data_BeZn2Tc
_chemical_formula_sum 'Be1 Zn2 Tc1'
_cell_length_a 2.6435
_cell_length_b 3.1517
_cell_length_c 6.2147
_cell_angle_alpha 90.00
_cell_angle_beta 90.00
_cell_angle_gamma 90.00
_space_group_name_H-M_alt 'P m m 2'
_space_group_IT_number 25
loop_
_space_group_symop_operation_xyz
'x,y,z'
'-x,-y,z'
'-x,y,z'
'x,-y,z'
loop_
_atom_site_label
_atom_site_type_symbol
_atom_site_fract_x
_atom_site_fract_y
_atom_site_fract_z
Be1 Be 0.0000 0.0000 0.0000
Zn1 Zn 0.0000 0.0000 0.4950
Zn2 Zn 0.5000 0.5000 0.7728
Tc1 Tc 0.5000 0.5000 0.2087

***

No. 13
# La2BeS3, relaxed, DFT GGA-PBE
# Density of states at the Fermi level in states/eV per atom: 0.104
data_La2BeS3
_chemical_formula_sum 'La4 Be2 S6'
_cell_length_a 4.0687
_cell_length_b 4.2219
_cell_length_c 15.0698
_cell_angle_alpha 90.00
_cell_angle_beta 90.00
_cell_angle_gamma 90.00
_space_group_name_H-M_alt 'I m m m'
_space_group_IT_number 71
_space_group_name_Hall '-I 2 2'
loop_
_atom_site_label
_atom_site_type_symbol
_atom_site_fract_x
_atom_site_fract_y
_atom_site_fract_z
La1 La 0.0000 0.0000 0.1358
Be1 Be 0.0000 0.0000 0.5000
S1 S 0.0000 0.0000 0.3330
S2 S 0.0000 0.5000 0.5000

***

No. 14
# PbAuSeS2, relaxed, DFT GGA-PBE
# Density of states at the Fermi level in states/eV per atom: 0.260
data_PbAuSeS2
_chemical_formula_sum 'Pb1 Au1 Se1 S2'
_cell_length_a 4.9634
_cell_length_b 4.9634
_cell_length_c 4.9394
_cell_angle_alpha 90.00
_cell_angle_beta 90.00
_cell_angle_gamma 90.00
_space_group_name_H-M_alt 'P 4/m m m'
_space_group_IT_number 123
_space_group_name_Hall '-P 4 2'
loop_
_atom_site_label
_atom_site_type_symbol
_atom_site_fract_x
_atom_site_fract_y
_atom_site_fract_z
Pb1 Pb 0.0000 0.0000 0.0000
Au1 Au 0.5000 0.5000 0.0000
Se1 Se 0.5000 0.5000 0.5000
S1 S 0.0000 0.5000 0.5000

***

No. 15
# GaOs3F, relaxed, DFT GGA-PBE
# Density of states at the Fermi level in states/eV per atom: 1.399
data_GaOs3F
_chemical_formula_sum 'Ga1 Os3 F1'
_cell_length_a 4.2191
_cell_length_b 4.2191
_cell_length_c 4.2191
_cell_angle_alpha 90.00
_cell_angle_beta 90.00
_cell_angle_gamma 90.00
_space_group_name_H-M_alt 'P m -3 m'
_space_group_IT_number 221
_space_group_name_Hall '-P 4 2 3'
loop_
_atom_site_label
_atom_site_type_symbol
_atom_site_fract_x
_atom_site_fract_y
_atom_site_fract_z
Ga1 Ga 0.0000 0.0000 0.0000
Os1 Os 0.0000 0.5000 0.5000
F1 F 0.5000 0.5000 0.5000

***

No. 16
# Mg2Ru, relaxed, DFT GGA-PBE
# Formation energy in eV/atom: 0.047
# Density of states at the Fermi level in states/eV per atom: 0.419
data_Mg2Ru
_chemical_formula_sum 'Mg2 Ru1'
_cell_length_a 4.5517
_cell_length_b 4.5517
_cell_length_c 2.7715
_cell_angle_alpha 90.00
_cell_angle_beta 90.00
_cell_angle_gamma 120.00
_space_group_name_H-M_alt 'P -3 m 1'
_space_group_IT_number 164
_space_group_name_Hall '-P 3 2"'
loop_
_atom_site_label
_atom_site_type_symbol
_atom_site_fract_x
_atom_site_fract_y
_atom_site_fract_z
Mg1 Mg 0.3333 0.6667 0.3252
Ru1 Ru 0.0000 0.0000 0.0000

***

No. 17
# ScIn3Ni, relaxed, DFT GGA-PBE
# Formation energy in eV/atom: 1.059
# Density of states at the Fermi level in states/eV per atom: 1.642
data_ScIn3Ni
_chemical_formula_sum 'Sc1 In3 Ni1'
_cell_length_a 5.5104
_cell_length_b 5.5104
_cell_length_c 5.5104
_cell_angle_alpha 90.00
_cell_angle_beta 90.00
_cell_angle_gamma 90.00
_space_group_name_H-M_alt 'P m -3 m'
_space_group_IT_number 221
_space_group_name_Hall '-P 4 2 3'
loop_
_atom_site_label
_atom_site_type_symbol
_atom_site_fract_x
_atom_site_fract_y
_atom_site_fract_z
Sc1 Sc 0.0000 0.0000 0.0000
In1 In 0.0000 0.0000 0.5000
Ni1 Ni 0.5000 0.5000 0.5000

***

No. 18
# LiHo12Ni6, relaxed, DFT GGA-PBE
# Formation energy in eV/atom: -0.166
# Density of states at the Fermi level in states/eV per atom: 1.030
data_LiHo12Ni6
_chemical_formula_sum 'Li3 Ho36 Ni18'
_cell_length_a 13.7605
_cell_length_b 13.7605
_cell_length_c 8.6742
_cell_angle_alpha 90.00
_cell_angle_beta 90.00
_cell_angle_gamma 120.00
_space_group_name_H-M_alt 'R -3'
_space_group_IT_number 148
_space_group_name_Hall '-R 3'
loop_
_atom_site_label
_atom_site_type_symbol
_atom_site_fract_x
_atom_site_fract_y
_atom_site_fract_z
Li1 Li 0.0000 0.0000 0.0000
Ho1 Ho 0.0379 0.7756 0.9286
Ho2 Ho 0.0625 0.8822 0.3344
Ni1 Ni 0.0763 0.5729 0.2913

***

No. 19
# LaY2Ho, relaxed, DFT GGA-PBE
# Formation energy in eV/atom: 0.104
# Density of states at the Fermi level in states/eV per atom: 2.027
data_LaY2Ho
_chemical_formula_sum 'La1 Y2 Ho1'
_cell_length_a 4.1348
_cell_length_b 4.1348
_cell_length_c 7.8973
_cell_angle_alpha 90.00
_cell_angle_beta 90.00
_cell_angle_gamma 90.00
_space_group_name_H-M_alt 'P 4/m m m'
_space_group_IT_number 123
_space_group_name_Hall '-P 4 2'
loop_
_atom_site_label
_atom_site_type_symbol
_atom_site_fract_x
_atom_site_fract_y
_atom_site_fract_z
La1 La 0.0000 0.0000 0.0000
Y1 Y 0.5000 0.5000 0.2645
Ho1 Ho 0.0000 0.0000 0.5000

***

No. 20
# AsAu5, relaxed, DFT GGA-PBE
# Formation energy in eV/atom: 0.093
# Density of states at the Fermi level in states/eV per atom: 0.252
data_AsAu5
_chemical_formula_sum 'As1 Au5'
_cell_length_a 5.1933
_cell_length_b 5.1933
_cell_length_c 4.6945
_cell_angle_alpha 90.00
_cell_angle_beta 90.00
_cell_angle_gamma 120.00
_space_group_name_H-M_alt 'P -6 2 m'
_space_group_IT_number 189
_space_group_name_Hall 'P -6 -2'
loop_
_atom_site_label
_atom_site_type_symbol
_atom_site_fract_x
_atom_site_fract_y
_atom_site_fract_z
As1 As 0.0000 0.0000 0.0000
Au1 Au 0.0000 0.6690 0.5000
Au2 Au 0.3333 0.6667 0.0000

***

no.,energy (eV/cell)
1,-15.07
2,-17.42
3,-63.55
4,-25.21
5,-70.62
6,-147.79
7,-44.77
8,-87.19
9,-31.19
10,-29.02
11,-101.61
12,-16.31
13,-71.56
14,-17.48
15,-30.46
16,-12.32
17,-15.03
18,-284.04
19,-22.02
20,-20.48